Record 1
Density functional theory data (meta-GGA SCAN) for Al4Cu5 at its PBEsol-relaxed geometry.

Geometry as CIF:
```
data_Al4Cu5
_chemical_formula_sum 'Al8 Cu10'
_space_group_name_H-M_alt 'P 63/m c m'
_space_group_IT_number 193
_space_group_name_Hall '-P 6c 2'
_cell_length_a 7.2173
_cell_length_b 7.2173
_cell_length_c 5.1349
_cell_angle_alpha 90.00
_cell_angle_beta 90.00
_cell_angle_gamma 120.00
loop_
_atom_site_label
_atom_site_type_symbol
_atom_site_fract_x
_atom_site_fract_y
_atom_site_fract_z
Al1 Al 0.0000 0.0000 0.0000
Al2 Al 0.0000 0.3557 0.2500
Cu1 Cu 0.0000 0.3148 0.7500
Cu2 Cu 0.3333 0.6667 0.0000
```

Output
ΔE to the lowest computed polymorph: 13 meV/atom
crystal system: hexagonal
calculated total energy: -12.098 eV/atom
energy of formation from the pure elements: -0.21 eV per atom


Record 2
Density functional theory data (meta-GGA SCAN) for Al5Cu at its PBEsol-relaxed geometry.

Geometry as CIF:
```
data_Al5Cu
_chemical_formula_sum 'Al5 Cu1'
_space_group_name_H-M_alt 'P 4/m m m'
_space_group_IT_number 123
_space_group_name_Hall '-P 4 2'
_cell_length_a 2.8005
_cell_length_b 2.8005
_cell_length_c 11.5938
_cell_angle_alpha 90.00
_cell_angle_beta 90.00
_cell_angle_gamma 90.00
loop_
_atom_site_label
_atom_site_type_symbol
_atom_site_fract_x
_atom_site_fract_y
_atom_site_fract_z
Al1 Al 0.0000 0.0000 0.0000
Al2 Al 0.0000 0.0000 0.3564
Al3 Al 0.5000 0.5000 0.1772
Cu1 Cu 0.5000 0.5000 0.5000
```

Output
crystal system: tetragonal
calculated total energy: -9.070 eV/atom
energy of formation from the pure elements: -0.08 eV per atom


What is the energy of formation from the pure elements in the first record?
-0.21 eV per atom


Among the records above, which one has the lowest calculated total energy?
Al4Cu5


Which of these has the lowest calculated total energy?
Al4Cu5


Look up the energy of formation from the pure elements of the second one.
-0.08 eV per atom